The following is a PBE-GGA calculation of an optimized crystal structure of BaZnTeO6, from Alexandria via LeMat-Bulk.

Computed properties:
DOS at the Fermi energy: 0.1707 states/eV/atom
E: -5.347 eV/atom
Calculated volume: 287.4 Å³/cell
Formation energy (no corrections): -1337 meV/atom

POSCAR file:
```
BaZnTeO6
1.0
5.3564 0.0000 0.0000
-2.6782 4.6388 0.0000
0.0000 0.0000 11.5659
Ba Zn Te O
2 2 2 12
direct
0.0000 0.0000 0.0000 Ba
0.0000 0.0000 0.5000 Ba
0.3333 0.6667 0.2500 Zn
0.6667 0.3333 0.7500 Zn
0.3333 0.6667 0.7500 Te
0.6667 0.3333 0.2500 Te
0.0166 0.3962 0.6528 O
0.0166 0.6204 0.8472 O
0.3796 0.3962 0.8472 O
0.3796 0.9834 0.6528 O
0.3962 0.0166 0.1528 O
0.3962 0.3796 0.3472 O
0.6038 0.6204 0.6528 O
0.6038 0.9834 0.8472 O
0.6204 0.0166 0.3472 O
0.6204 0.6038 0.1528 O
0.9834 0.3796 0.1528 O
0.9834 0.6038 0.3472 O
```